A plane-wave DFT calculation with PBE-GGA was carried out for a geometry-optimized K2RbAsF6 structure.

Cell: 6.637 6.637 6.637 Å, 60.00 60.00 60.00°
Positions (direct):
F  0.780  0.780  0.220
F  0.220  0.220  0.780
F  0.220  0.780  0.220
F  0.780  0.220  0.780
F  0.780  0.220  0.220
F  0.220  0.780  0.780
K  0.750  0.750  0.750
K  0.250  0.250  0.250
Rb  0.500  0.500  0.500
As  0.000  0.000  0.000

Results
N(E_F)	0.00	states/eV per cell
raw formation energy	-2.471	eV/atom
offset from the most stable computed form	68	meV per atom
total DFT energy (no corrections)	-43.75	eV per cell